Computed, not measured: a relaxed structure of PrZn2B2O6 at the PBE level of DFT.

Cell and atoms, written as POSCAR:
```
PrZn2B2O6
1.0
5.074 0.000 0.000
-2.537 4.394 0.000
0.000 0.000 7.319
Pr Zn B O
1 2 2 6
direct
0.000 0.000 0.000 Pr
0.333 0.667 0.315 Zn
0.667 0.333 0.685 Zn
0.333 0.667 0.789 B
0.667 0.333 0.211 B
0.054 0.654 0.795 O
0.346 0.400 0.795 O
0.400 0.054 0.205 O
0.600 0.946 0.795 O
0.654 0.600 0.205 O
0.946 0.346 0.205 O
```

Results
ΔE_f (raw) in meV per atom: -2130
Mass density in g/cm³: 3.96
Symmetry: P-3 (147)
Total magnetic moment in μB/atom: 0.026
V in A^3/atom: 14.837



Computed, not measured: a relaxed structure of B2PtO2 at the PBE level of DFT.

Cell and atoms, written as POSCAR:
```
B2PtO2
1.0
6.016 0.000 0.000
0.000 6.016 0.000
0.000 0.000 2.562
B Pt O
4 2 4
direct
0.108 0.392 0.000 B
0.392 0.892 0.000 B
0.608 0.108 0.000 B
0.892 0.608 0.000 B
0.000 0.000 0.000 Pt
0.500 0.500 0.000 Pt
0.123 0.623 0.500 O
0.377 0.123 0.500 O
0.623 0.877 0.500 O
0.877 0.377 0.500 O
```

Results
ΔE_f (raw) in meV per atom: 866
Mass density in g/cm³: 8.91
Symmetry: P4/mbm (127)
Relative energy among the computed polymorphs in kJ/mol of formula units: 410.1
Total magnetic moment in μB/atom: 0.000
V in A^3/atom: 9.274



Computed, not measured: a relaxed structure of B2PtO2 at the PBE level of DFT.

Cell and atoms, written as POSCAR:
```
B2PtO2
1.0
-1.487 1.487 5.170
1.487 -1.487 5.170
1.487 1.487 -5.170
B Pt O
2 1 2
direct
0.181 0.181 0.000 B
0.819 0.819 0.000 B
0.500 0.500 0.000 Pt
0.250 0.750 0.500 O
0.750 0.250 0.500 O
```

Results
ΔE_f (raw) in meV per atom: 16
Mass density in g/cm³: 9.03
Symmetry: I4/mmm (139)
Relative energy among the computed polymorphs in kJ/mol of formula units: 0.0
Total magnetic moment in μB/atom: 0.000
V in A^3/atom: 9.145



Computed, not measured: a relaxed structure of Rb2B2PtO6 at the PBE level of DFT.

Cell and atoms, written as POSCAR:
```
Rb2B2PtO6
1.0
2.620 1.513 6.375
-2.620 1.513 6.375
0.000 -3.025 6.375
Rb B Pt O
2 2 1 6
direct
0.208 0.208 0.208 Rb
0.792 0.792 0.792 Rb
0.389 0.389 0.389 B
0.611 0.611 0.611 B
0.000 0.000 0.000 Pt
0.244 0.244 0.703 O
0.244 0.703 0.244 O
0.297 0.756 0.756 O
0.703 0.244 0.244 O
0.756 0.297 0.756 O
0.756 0.756 0.297 O
```

Results
ΔE_f (raw) in meV per atom: -1638
Mass density in g/cm³: 5.30
Symmetry: R-3m (166)
Total magnetic moment in μB/atom: 0.000
V in A^3/atom: 13.781



Computed, not measured: a relaxed structure of RbB4Pt3O12 at the PBE level of DFT.

Cell and atoms, written as POSCAR:
```
RbB4Pt3O12
1.0
4.864 2.808 2.788
-4.864 2.808 2.788
0.000 -5.617 2.788
Rb B Pt O
1 4 3 12
direct
0.000 0.000 0.000 Rb
0.061 0.500 0.939 B
0.500 0.500 0.500 B
0.500 0.939 0.061 B
0.939 0.061 0.500 B
0.000 0.554 0.446 Pt
0.446 0.000 0.554 Pt
0.554 0.446 0.000 Pt
0.002 0.598 0.770 O
0.087 0.913 0.500 O
0.230 0.402 0.998 O
0.356 0.644 0.500 O
0.402 0.998 0.230 O
0.500 0.087 0.913 O
0.500 0.356 0.644 O
0.598 0.770 0.002 O
0.644 0.500 0.356 O
0.770 0.002 0.598 O
0.913 0.500 0.087 O
0.998 0.230 0.402 O
```

Results
ΔE_f (raw) in meV per atom: -1373
Mass density in g/cm³: 6.58
Symmetry: R32 (155)
Total magnetic moment in μB/atom: 0.000
V in A^3/atom: 11.427



Computed, not measured: a relaxed structure of SmBPtO5 at the PBE level of DFT.

Cell and atoms, written as POSCAR:
```
SmBPtO5
1.0
3.175 -4.388 0.000
3.175 4.388 0.000
-2.693 0.000 6.336
Sm B Pt O
2 2 2 10
direct
0.144 0.856 0.750 Sm
0.856 0.144 0.250 Sm
0.195 0.805 0.250 B
0.805 0.195 0.750 B
0.500 0.500 0.000 Pt
0.500 0.500 0.500 Pt
0.080 0.250 0.920 O
0.175 0.605 0.365 O
0.250 0.080 0.420 O
0.395 0.825 0.135 O
0.397 0.603 0.750 O
0.603 0.397 0.250 O
0.605 0.175 0.865 O
0.750 0.920 0.580 O
0.825 0.395 0.635 O
0.920 0.750 0.080 O
```

Results
ΔE_f (raw) in meV per atom: -1974
Mass density in g/cm³: 8.21
Symmetry: C2/c (15)
Total magnetic moment in μB/atom: 0.000
V in A^3/atom: 11.034



Computed, not measured: a relaxed structure of SrBPtO4 at the PBE level of DFT.

Cell and atoms, written as POSCAR:
```
SrBPtO4
1.0
3.052 -4.467 0.000
3.052 4.467 0.000
0.000 0.000 6.447
Sr B Pt O
2 2 2 8
direct
0.000 0.000 0.000 Sr
0.000 0.000 0.500 Sr
0.377 0.623 0.750 B
0.623 0.377 0.250 B
0.320 0.680 0.250 Pt
0.680 0.320 0.750 Pt
0.280 0.720 0.562 O
0.280 0.720 0.938 O
0.284 0.328 0.750 O
0.328 0.284 0.250 O
0.672 0.716 0.750 O
0.716 0.672 0.250 O
0.720 0.280 0.062 O
0.720 0.280 0.438 O
```

Results
ΔE_f (raw) in meV per atom: -1548
Mass density in g/cm³: 6.75
Symmetry: Cmcm (63)
Total magnetic moment in μB/atom: 0.130
V in A^3/atom: 12.555



Computed, not measured: a relaxed structure of SrB2Pt2O7 at the PBE level of DFT.

Cell and atoms, written as POSCAR:
```
SrB2Pt2O7
1.0
2.521 1.455 9.268
-2.521 1.455 9.268
0.000 -2.911 9.268
Sr B Pt O
1 2 2 7
direct
0.000 0.000 0.000 Sr
0.272 0.272 0.272 B
0.728 0.728 0.728 B
0.434 0.434 0.434 Pt
0.566 0.566 0.566 Pt
0.010 0.463 0.704 O
0.296 0.537 0.990 O
0.463 0.704 0.010 O
0.500 0.500 0.500 O
0.537 0.990 0.296 O
0.704 0.010 0.463 O
0.990 0.296 0.537 O
```

Results
ΔE_f (raw) in meV per atom: -1374
Mass density in g/cm³: 4.98
Symmetry: R32 (155)
Total magnetic moment in μB/atom: 0.000
V in A^3/atom: 17.002



Computed, not measured: a relaxed structure of SrB4Pt3O12 at the PBE level of DFT.

Cell and atoms, written as POSCAR:
```
SrB4Pt3O12
1.0
4.899 2.829 2.725
-4.899 2.829 2.725
0.000 -5.657 2.725
Sr B Pt O
1 4 3 12
direct
0.000 0.000 0.000 Sr
0.056 0.500 0.944 B
0.500 0.500 0.500 B
0.500 0.944 0.056 B
0.944 0.056 0.500 B
0.000 0.549 0.451 Pt
0.451 0.000 0.549 Pt
0.549 0.451 0.000 Pt
0.020 0.620 0.790 O
0.091 0.909 0.500 O
0.210 0.380 0.980 O
0.358 0.642 0.500 O
0.380 0.980 0.210 O
0.500 0.091 0.909 O
0.500 0.358 0.642 O
0.620 0.790 0.020 O
0.642 0.500 0.358 O
0.790 0.020 0.620 O
0.909 0.500 0.091 O
0.980 0.210 0.380 O
```

Results
ΔE_f (raw) in meV per atom: -1560
Mass density in g/cm³: 6.65
Symmetry: R32 (155)
Total magnetic moment in μB/atom: 0.000
V in A^3/atom: 11.331



Computed, not measured: a relaxed structure of TbB2PtO8 at the PBE level of DFT.

Cell and atoms, written as POSCAR:
```
TbB2PtO8
1.0
4.924 0.000 0.000
-2.462 4.264 0.000
0.000 0.000 6.643
Tb B Pt O
1 2 1 8
direct
0.000 0.000 0.000 Tb
0.333 0.667 0.242 B
0.667 0.333 0.758 B
0.000 0.000 0.500 Pt
0.168 0.336 0.293 O
0.168 0.832 0.293 O
0.333 0.667 0.021 O
0.336 0.168 0.707 O
0.664 0.832 0.293 O
0.667 0.333 0.979 O
0.832 0.168 0.707 O
0.832 0.664 0.707 O
```

Results
ΔE_f (raw) in meV per atom: -1553
Mass density in g/cm³: 6.00
Symmetry: P-3m1 (164)
Total magnetic moment in μB/atom: 0.253
V in A^3/atom: 11.623



Computed, not measured: a relaxed structure of TbBPtO5 at the PBE level of DFT.

Cell and atoms, written as POSCAR:
```
TbBPtO5
1.0
3.148 -4.340 0.000
3.148 4.340 0.000
-2.659 0.000 6.310
Tb B Pt O
2 2 2 10
direct
0.144 0.856 0.750 Tb
0.856 0.144 0.250 Tb
0.193 0.807 0.250 B
0.807 0.193 0.750 B
0.500 0.500 0.000 Pt
0.500 0.500 0.500 Pt
0.080 0.245 0.921 O
0.170 0.601 0.363 O
0.245 0.080 0.421 O
0.394 0.606 0.750 O
0.399 0.830 0.137 O
0.601 0.170 0.863 O
0.606 0.394 0.250 O
0.755 0.920 0.579 O
0.830 0.399 0.637 O
0.920 0.755 0.079 O
```

Results
ΔE_f (raw) in meV per atom: -2004
Mass density in g/cm³: 8.57
Symmetry: C2/c (15)
Total magnetic moment in μB/atom: 0.000
V in A^3/atom: 10.777



Computed, not measured: a relaxed structure of BTePtO2 at the PBE level of DFT.

Cell and atoms, written as POSCAR:
```
BTePtO2
1.0
3.955 0.000 0.000
0.000 3.955 0.000
0.000 0.000 4.423
B Te Pt O
1 1 1 2
direct
0.000 0.000 0.000 B
0.500 0.500 0.000 Te
0.000 0.000 0.500 Pt
0.000 0.500 0.500 O
0.500 0.000 0.500 O
```

Results
ΔE_f (raw) in meV per atom: 536
Mass density in g/cm³: 8.77
Symmetry: P4/mmm (123)
Total magnetic moment in μB/atom: 0.000
V in A^3/atom: 13.834



Computed, not measured: a relaxed structure of TlBPtO5 at the PBE level of DFT.

Cell and atoms, written as POSCAR:
```
TlBPtO5
1.0
3.290 -4.215 0.000
3.290 4.215 0.000
-2.990 0.000 6.432
Tl B Pt O
2 2 2 10
direct
0.152 0.848 0.750 Tl
0.848 0.152 0.250 Tl
0.189 0.811 0.250 B
0.811 0.189 0.750 B
0.500 0.500 0.000 Pt
0.500 0.500 0.500 Pt
0.100 0.241 0.904 O
0.182 0.618 0.367 O
0.241 0.100 0.404 O
0.382 0.818 0.133 O
0.401 0.599 0.750 O
0.599 0.401 0.250 O
0.618 0.182 0.867 O
0.759 0.900 0.596 O
0.818 0.382 0.633 O
0.900 0.759 0.096 O
```

Results
ΔE_f (raw) in meV per atom: -1074
Mass density in g/cm³: 9.13
Symmetry: C2/c (15)
Total magnetic moment in μB/atom: 0.000
V in A^3/atom: 11.151



Computed, not measured: a relaxed structure of Tl2B2PtO6 at the PBE level of DFT.

Cell and atoms, written as POSCAR:
```
Tl2B2PtO6
1.0
5.270 -2.558 0.000
5.270 2.558 0.000
-2.438 0.000 5.277
Tl B Pt O
2 2 1 6
direct
0.189 0.189 0.235 Tl
0.811 0.811 0.765 Tl
0.484 0.484 0.243 B
0.516 0.516 0.757 B
0.000 0.000 0.500 Pt
0.176 0.635 0.229 O
0.365 0.824 0.771 O
0.380 0.380 0.719 O
0.620 0.620 0.281 O
0.635 0.176 0.229 O
0.824 0.365 0.771 O
```

Results
ΔE_f (raw) in meV per atom: -1337
Mass density in g/cm³: 8.42
Symmetry: C2/m (12)
Total magnetic moment in μB/atom: 0.000
V in A^3/atom: 12.932



Computed, not measured: a relaxed structure of PuBO4 at the PBE level of DFT.

Cell and atoms, written as POSCAR:
```
PuBO4
1.0
-2.856 2.856 4.054
2.856 -2.856 4.054
2.856 2.856 -4.054
Pu B O
1 1 4
direct
0.000 0.000 0.000 Pu
0.750 0.250 0.500 B
0.435 0.147 0.292 O
0.853 0.145 0.288 O
0.855 0.143 0.708 O
0.857 0.565 0.712 O
```

Results
ΔE_f (raw) in meV per atom: -2253
Mass density in g/cm³: 4.00
Symmetry: I-4 (82)
Total magnetic moment in μB/atom: 0.500
V in A^3/atom: 22.040



Computed, not measured: a relaxed structure of PuBO5 at the PBE level of DFT.

Cell and atoms, written as POSCAR:
```
PuBO5
1.0
3.744 -3.649 0.000
3.744 3.649 0.000
-3.380 0.000 6.707
Pu B O
2 2 10
direct
0.000 0.500 0.000 Pu
0.500 0.000 0.500 Pu
0.120 0.880 0.750 B
0.880 0.120 0.250 B
0.141 0.667 0.839 O
0.153 0.158 0.405 O
0.158 0.153 0.905 O
0.333 0.859 0.661 O
0.335 0.665 0.250 O
0.665 0.335 0.750 O
0.667 0.141 0.339 O
0.842 0.847 0.095 O
0.847 0.842 0.595 O
0.859 0.333 0.161 O
```

Results
ΔE_f (raw) in meV per atom: -2134
Mass density in g/cm³: 6.07
Symmetry: C2/c (15)
Total magnetic moment in μB/atom: 0.139
V in A^3/atom: 13.091



Computed, not measured: a relaxed structure of PuBO2 at the PBE level of DFT.

Cell and atoms, written as POSCAR:
```
PuBO2
1.0
1.307 0.755 6.511
-1.307 0.755 6.511
0.000 -1.509 6.511
Pu B O
1 1 2
direct
0.000 0.000 0.000 Pu
0.500 0.500 0.500 B
0.122 0.122 0.122 O
0.878 0.878 0.878 O
```

Results
ΔE_f (raw) in meV per atom: -965
Mass density in g/cm³: 12.36
Symmetry: R-3m (166)
Total magnetic moment in μB/atom: 0.791
V in A^3/atom: 9.633



Computed, not measured: a relaxed structure of Pu2BO8 at the PBE level of DFT.

Cell and atoms, written as POSCAR:
```
Pu2BO8
1.0
5.213 0.000 0.000
-1.210 5.672 0.000
-1.548 -1.522 6.451
Pu B O
2 1 8
direct
0.007 0.005 0.251 Pu
0.993 0.995 0.749 Pu
0.500 0.500 0.000 B
0.194 0.902 0.050 O
0.197 0.910 0.559 O
0.246 0.308 0.333 O
0.294 0.360 0.863 O
0.706 0.640 0.137 O
0.754 0.692 0.667 O
0.803 0.090 0.441 O
0.806 0.098 0.950 O
```

Results
ΔE_f (raw) in meV per atom: -2088
Mass density in g/cm³: 5.46
Symmetry: P-1 (2)
Total magnetic moment in μB/atom: 0.273
V in A^3/atom: 17.342



Computed, not measured: a relaxed structure of RbPuBO5 at the PBE level of DFT.

Cell and atoms, written as POSCAR:
```
RbPuBO5
1.0
3.526 -4.580 0.000
3.526 4.580 0.000
-3.508 0.000 7.035
Rb Pu B O
2 2 2 10
direct
0.092 0.908 0.750 Rb
0.908 0.092 0.250 Rb
0.000 0.500 0.000 Pu
0.500 0.000 0.500 Pu
0.445 0.555 0.750 B
0.555 0.445 0.250 B
0.190 0.810 0.250 O
0.267 0.357 0.128 O
0.287 0.584 0.869 O
0.357 0.267 0.628 O
0.416 0.713 0.631 O
0.584 0.287 0.369 O
0.643 0.733 0.372 O
0.713 0.416 0.131 O
0.733 0.643 0.872 O
0.810 0.190 0.750 O
```

Results
ΔE_f (raw) in meV per atom: -2181
Mass density in g/cm³: 6.14
Symmetry: C2/c (15)
Total magnetic moment in μB/atom: 0.250
V in A^3/atom: 14.201



Computed, not measured: a relaxed structure of PuB2RhO6 at the PBE level of DFT.

Cell and atoms, written as POSCAR:
```
PuB2RhO6
1.0
2.441 1.409 5.439
-2.441 1.409 5.439
0.000 -2.818 5.439
Pu B Rh O
1 2 1 6
direct
0.000 0.000 0.000 Pu
0.238 0.238 0.238 B
0.762 0.762 0.762 B
0.500 0.500 0.500 Rh
0.052 0.735 0.486 O
0.265 0.514 0.948 O
0.486 0.052 0.735 O
0.514 0.948 0.265 O
0.735 0.486 0.052 O
0.948 0.265 0.514 O
```

Results
ΔE_f (raw) in meV per atom: -2117
Mass density in g/cm³: 6.87
Symmetry: R-3 (148)
Total magnetic moment in μB/atom: 0.500
V in A^3/atom: 11.223